[1]
Ac2CuRhO5 after structural relaxation. Source: Alexandria, functional PBE-GGA. Values from VASP.

Values from the calculation:
**Energy relative to the elements, uncorrected**: -1.757 eV per atom
**Final energy**: -120.5 eV/cell
**Calculated volume**: 16.87 A^3/atom

Structure (Quantum ESPRESSO input):
```
&SYSTEM
  ibrav = 0, nat = 18, ntyp = 4
/
ATOMIC_SPECIES
Ac 227.00 Ac.upf
Cu 63.55 Cu.upf
Rh 102.91 Rh.upf
O 16.00 O.upf
CELL_PARAMETERS angstrom
7.291 0.000 0.000
0.000 7.291 0.000
0.000 0.000 5.713
ATOMIC_POSITIONS crystal
Ac 0.179 0.321 0.000
Ac 0.321 0.821 0.000
Ac 0.679 0.179 0.000
Ac 0.821 0.679 0.000
Cu 0.000 0.000 0.500
Cu 0.500 0.500 0.500
Rh 0.000 0.500 0.500
Rh 0.500 0.000 0.500
O 0.000 0.000 0.000
O 0.131 0.631 0.254
O 0.131 0.631 0.746
O 0.369 0.131 0.254
O 0.369 0.131 0.746
O 0.500 0.500 0.000
O 0.631 0.869 0.254
O 0.631 0.869 0.746
O 0.869 0.369 0.254
O 0.869 0.369 0.746
```

=====

[2]
Ac3Cu2RhO8 after structural relaxation. Source: Alexandria, functional PBE-GGA. Values from VASP.

Values from the calculation:
**Energy relative to the elements, uncorrected**: -1.926 eV per atom
**Final energy**: -94.5 eV/cell
**Calculated volume**: 14.35 A^3/atom

Structure (Quantum ESPRESSO input):
```
&SYSTEM
  ibrav = 0, nat = 14, ntyp = 4
/
ATOMIC_SPECIES
Ac 227.00 Ac.upf
Cu 63.55 Cu.upf
Rh 102.91 Rh.upf
O 16.00 O.upf
CELL_PARAMETERS angstrom
5.595 0.000 0.000
-2.798 4.845 0.000
0.000 0.000 7.410
ATOMIC_POSITIONS crystal
Ac 0.000 0.000 0.000
Ac 0.333 0.667 0.635
Ac 0.667 0.333 0.365
Cu 0.333 0.667 0.184
Cu 0.667 0.333 0.816
Rh 0.000 0.000 0.500
O 0.160 0.321 0.322
O 0.160 0.840 0.322
O 0.321 0.160 0.678
O 0.333 0.667 0.939
O 0.667 0.333 0.061
O 0.679 0.840 0.322
O 0.840 0.160 0.678
O 0.840 0.679 0.678
```

=====

[3]
Ac4Cu3RhO12 after structural relaxation. Source: Alexandria, functional PBE-GGA. Values from VASP.

Values from the calculation:
**Energy relative to the elements, uncorrected**: -1.985 eV per atom
**Final energy**: -135.3 eV/cell
**Calculated volume**: 12.63 A^3/atom

Structure (Quantum ESPRESSO input):
```
&SYSTEM
  ibrav = 0, nat = 20, ntyp = 4
/
ATOMIC_SPECIES
Ac 227.00 Ac.upf
Cu 63.55 Cu.upf
Rh 102.91 Rh.upf
O 16.00 O.upf
CELL_PARAMETERS angstrom
-3.982 3.982 3.982
3.982 -3.982 3.982
3.982 3.982 -3.982
ATOMIC_POSITIONS crystal
Ac 0.000 0.000 0.500
Ac 0.000 0.500 0.000
Ac 0.500 0.000 0.000
Ac 0.500 0.500 0.500
Cu 0.000 0.500 0.500
Cu 0.500 0.000 0.500
Cu 0.500 0.500 0.000
Rh 0.000 0.000 0.000
O 0.000 0.251 0.251
O 0.000 0.749 0.749
O 0.250 0.500 0.750
O 0.250 0.750 0.500
O 0.251 0.000 0.251
O 0.251 0.251 0.000
O 0.500 0.250 0.750
O 0.500 0.750 0.250
O 0.749 0.000 0.749
O 0.749 0.749 0.000
O 0.750 0.250 0.500
O 0.750 0.500 0.250
```

=====

[4]
AcCuRh2O8 after structural relaxation. Source: Alexandria, functional PBE-GGA. Values from VASP.

Values from the calculation:
**Energy relative to the elements, uncorrected**: -0.800 eV per atom
**Final energy**: -72.2 eV/cell
**Calculated volume**: 15.47 A^3/atom

Structure (Quantum ESPRESSO input):
```
&SYSTEM
  ibrav = 0, nat = 12, ntyp = 4
/
ATOMIC_SPECIES
Ac 227.00 Ac.upf
Cu 63.55 Cu.upf
Rh 102.91 Rh.upf
O 16.00 O.upf
CELL_PARAMETERS angstrom
-3.695 3.695 3.399
3.695 -3.695 3.399
3.695 3.695 -3.399
ATOMIC_POSITIONS crystal
Ac 0.000 0.000 0.000
Cu 0.250 0.750 0.500
Rh 0.500 0.500 0.000
Rh 0.750 0.250 0.500
O 0.324 0.134 0.810
O 0.324 0.514 0.190
O 0.384 0.053 0.330
O 0.486 0.676 0.810
O 0.723 0.053 0.670
O 0.866 0.676 0.190
O 0.947 0.277 0.330
O 0.947 0.616 0.670
```

=====

[5]
Ac2CuRuO8 after structural relaxation. Source: Alexandria, functional PBE-GGA. Values from VASP.

Values from the calculation:
**Energy relative to the elements, uncorrected**: -1.778 eV per atom
**Final energy**: -82.6 eV/cell
**Calculated volume**: 16.10 A^3/atom

Structure (Quantum ESPRESSO input):
```
&SYSTEM
  ibrav = 0, nat = 12, ntyp = 4
/
ATOMIC_SPECIES
Ac 227.00 Ac.upf
Cu 63.55 Cu.upf
Ru 101.07 Ru.upf
O 16.00 O.upf
CELL_PARAMETERS angstrom
5.486 0.000 0.000
2.015 5.413 0.000
0.588 0.913 6.506
ATOMIC_POSITIONS crystal
Ac 0.102 0.157 0.226
Ac 0.898 0.843 0.774
Cu 0.500 0.500 0.500
Ru 0.500 0.500 0.000
O 0.234 0.799 0.496
O 0.240 0.412 0.893
O 0.271 0.836 0.978
O 0.362 0.432 0.277
O 0.638 0.568 0.723
O 0.729 0.164 0.022
O 0.760 0.588 0.107
O 0.766 0.201 0.504
```

=====

[6]
AcCuRu2O7 after structural relaxation. Source: Alexandria, functional PBE-GGA. Values from VASP.

Values from the calculation:
**Energy relative to the elements, uncorrected**: -1.350 eV per atom
**Final energy**: -76.3 eV/cell
**Calculated volume**: 12.82 A^3/atom

Structure (Quantum ESPRESSO input):
```
&SYSTEM
  ibrav = 0, nat = 11, ntyp = 4
/
ATOMIC_SPECIES
Ac 227.00 Ac.upf
Cu 63.55 Cu.upf
Ru 101.07 Ru.upf
O 16.00 O.upf
CELL_PARAMETERS angstrom
-1.956 1.956 9.213
1.956 -1.956 9.213
1.956 1.956 -9.213
ATOMIC_POSITIONS crystal
Ac 0.000 0.000 0.000
Cu 0.750 0.250 0.500
Ru 0.382 0.382 0.000
Ru 0.618 0.618 0.000
O 0.100 0.600 0.500
O 0.281 0.281 0.000
O 0.400 0.900 0.500
O 0.500 0.500 0.000
O 0.601 0.101 0.500
O 0.719 0.719 0.000
O 0.899 0.399 0.500
```

=====

[7]
Ac2CuRuO6 after structural relaxation. Source: Alexandria, functional PBE-GGA. Values from VASP.

Values from the calculation:
**Energy relative to the elements, uncorrected**: -2.108 eV per atom
**Final energy**: -72.4 eV/cell
**Calculated volume**: 13.40 A^3/atom

Structure (Quantum ESPRESSO input):
```
&SYSTEM
  ibrav = 0, nat = 10, ntyp = 4
/
ATOMIC_SPECIES
Ac 227.00 Ac.upf
Cu 63.55 Cu.upf
Ru 101.07 Ru.upf
O 16.00 O.upf
CELL_PARAMETERS angstrom
4.998 -2.820 0.000
4.998 2.820 0.000
-3.338 0.000 4.756
ATOMIC_POSITIONS crystal
Ac 0.249 0.249 0.257
Ac 0.751 0.751 0.743
Cu 0.500 0.500 0.000
Ru 0.000 0.000 0.500
O 0.199 0.707 0.694
O 0.239 0.239 0.821
O 0.293 0.801 0.306
O 0.707 0.199 0.694
O 0.761 0.761 0.179
O 0.801 0.293 0.306
```

=====

[8]
AcCu2RuO8 after structural relaxation. Source: Alexandria, functional PBE-GGA. Values from VASP.

Values from the calculation:
**Energy relative to the elements, uncorrected**: -0.824 eV per atom
**Final energy**: -71.1 eV/cell
**Calculated volume**: 13.34 A^3/atom

Structure (Quantum ESPRESSO input):
```
&SYSTEM
  ibrav = 0, nat = 12, ntyp = 4
/
ATOMIC_SPECIES
Ac 227.00 Ac.upf
Cu 63.55 Cu.upf
Ru 101.07 Ru.upf
O 16.00 O.upf
CELL_PARAMETERS angstrom
-3.504 3.504 3.259
3.504 -3.504 3.259
3.504 3.504 -3.259
ATOMIC_POSITIONS crystal
Ac 0.000 0.000 0.000
Cu 0.250 0.750 0.500
Cu 0.500 0.500 0.000
Ru 0.750 0.250 0.500
O 0.018 0.366 0.348
O 0.018 0.670 0.652
O 0.096 0.313 0.783
O 0.330 0.982 0.348
O 0.530 0.313 0.217
O 0.634 0.982 0.652
O 0.687 0.470 0.783
O 0.687 0.904 0.217
```

=====

[9]
Ac3Cu2RuO9 after structural relaxation. Source: Alexandria, functional PBE-GGA. Values from VASP.

Values from the calculation:
**Energy relative to the elements, uncorrected**: -2.054 eV per atom
**Final energy**: -105.2 eV/cell
**Calculated volume**: 12.88 A^3/atom

Structure (Quantum ESPRESSO input):
```
&SYSTEM
  ibrav = 0, nat = 15, ntyp = 4
/
ATOMIC_SPECIES
Ac 227.00 Ac.upf
Cu 63.55 Cu.upf
Ru 101.07 Ru.upf
O 16.00 O.upf
CELL_PARAMETERS angstrom
5.656 0.000 0.000
-2.828 4.898 0.000
0.000 0.000 6.971
ATOMIC_POSITIONS crystal
Ac 0.000 0.000 0.000
Ac 0.333 0.667 0.685
Ac 0.667 0.333 0.315
Cu 0.333 0.667 0.163
Cu 0.667 0.333 0.837
Ru 0.000 0.000 0.500
O 0.000 0.500 0.000
O 0.164 0.327 0.334
O 0.164 0.836 0.334
O 0.327 0.164 0.666
O 0.500 0.000 0.000
O 0.500 0.500 0.000
O 0.673 0.836 0.334
O 0.836 0.164 0.666
O 0.836 0.673 0.666
```

=====

[10]
AcCuS2O8 after structural relaxation. Source: Alexandria, functional PBE-GGA. Values from VASP.

Values from the calculation:
**Energy relative to the elements, uncorrected**: -1.709 eV per atom
**Final energy**: -76.6 eV/cell
**Calculated volume**: 12.70 A^3/atom

Structure (Quantum ESPRESSO input):
```
&SYSTEM
  ibrav = 0, nat = 12, ntyp = 4
/
ATOMIC_SPECIES
Ac 227.00 Ac.upf
Cu 63.55 Cu.upf
S 32.06 S.upf
O 16.00 O.upf
CELL_PARAMETERS angstrom
2.477 1.430 7.168
-2.477 1.430 7.168
0.000 -2.861 7.168
ATOMIC_POSITIONS crystal
Ac 0.000 0.000 0.000
Cu 0.500 0.500 0.500
S 0.251 0.251 0.251
S 0.749 0.749 0.749
O 0.042 0.794 0.469
O 0.206 0.531 0.958
O 0.323 0.323 0.323
O 0.469 0.042 0.794
O 0.531 0.958 0.206
O 0.677 0.677 0.677
O 0.794 0.469 0.042
O 0.958 0.206 0.531
```

=====

[11]
AcCuSO after structural relaxation. Source: Alexandria, functional PBE-GGA. Values from VASP.

Values from the calculation:
**Energy relative to the elements, uncorrected**: -2.010 eV per atom
**Final energy**: -50.7 eV/cell
**Calculated volume**: 18.27 A^3/atom

Structure (Quantum ESPRESSO input):
```
&SYSTEM
  ibrav = 0, nat = 8, ntyp = 4
/
ATOMIC_SPECIES
Ac 227.00 Ac.upf
Cu 63.55 Cu.upf
S 32.06 S.upf
O 16.00 O.upf
CELL_PARAMETERS angstrom
4.097 0.000 0.000
0.000 4.097 0.000
0.000 0.000 8.705
ATOMIC_POSITIONS crystal
Ac 0.250 0.250 0.154
Ac 0.750 0.750 0.846
Cu 0.250 0.750 0.500
Cu 0.750 0.250 0.500
S 0.250 0.250 0.651
S 0.750 0.750 0.349
O 0.250 0.750 0.000
O 0.750 0.250 0.000
```

=====

[12]
Ac2CuSbO6 after structural relaxation. Source: Alexandria, functional PBE-GGA. Values from VASP.

Values from the calculation:
**Energy relative to the elements, uncorrected**: -2.258 eV per atom
**Final energy**: -68.8 eV/cell
**Calculated volume**: 14.37 A^3/atom

Structure (Quantum ESPRESSO input):
```
&SYSTEM
  ibrav = 0, nat = 10, ntyp = 4
/
ATOMIC_SPECIES
Ac 227.00 Ac.upf
Cu 63.55 Cu.upf
Sb 121.76 Sb.upf
O 16.00 O.upf
CELL_PARAMETERS angstrom
5.145 -2.868 0.000
5.145 2.868 0.000
-3.322 0.000 4.868
ATOMIC_POSITIONS crystal
Ac 0.249 0.249 0.262
Ac 0.751 0.751 0.738
Cu 0.500 0.500 0.000
Sb 0.000 0.000 0.500
O 0.191 0.699 0.682
O 0.229 0.229 0.822
O 0.301 0.809 0.318
O 0.699 0.191 0.682
O 0.771 0.771 0.178
O 0.809 0.301 0.318
```